# 1
## Ho3Zn2Rh (PBE)

Data for an optimized crystal structure of Ho3Zn2Rh.

a = 3.5163 Å, b = 3.5163 Å, c = 10.4674 Å
α = 90.00°, β = 90.00°, γ = 90.00°
Last column: nearest neighbours and their distance in Å.
Positions (direct):
1 Ho 0.0000 0.0000 0.0000  8 Zn 3.05
2 Ho 0.0000 0.0000 0.6548  4 Rh 2.97, 4 Zn 3.10, 1 Ho 3.24
3 Ho 0.0000 0.0000 0.3452  4 Rh 2.97, 4 Zn 3.10, 1 Ho 3.24
4 Zn 0.5000 0.5000 0.8319  8 Ho 3.05-3.10
5 Zn 0.5000 0.5000 0.1681  8 Ho 3.05-3.10
6 Rh 0.5000 0.5000 0.5000  8 Ho 2.97

Properties
**Magnetization**: 0.0 μB per cell
**Fermi-level density of states**: 0.642 states/eV per atom
**Total DFT energy (no corrections)**: -4.4836 eV/atom


# 2
## Ho6ZnRh5 (PBE)

Data for an optimized crystal structure of Ho6ZnRh5.

a = 4.8507 Å, b = 8.4212 Å, c = 8.4212 Å
α = 120.31°, β = 106.69°, γ = 106.69°
Last column: nearest neighbours and their distance in Å.
Positions (direct):
1 Zn 0.0000 0.0000 0.0000  8 Ho 2.99-3.02
2 Rh 0.5000 0.1658 0.8342  8 Ho 2.94-2.99
3 Rh 0.0000 0.3333 0.6667  8 Ho 2.95-2.96
4 Rh 0.5000 0.5000 0.5000  8 Ho 2.94-3.00
5 Rh 0.0000 0.6667 0.3333  8 Ho 2.95-2.96
6 Rh 0.5000 0.8342 0.1658  8 Ho 2.94-2.99
7 Ho 0.2527 0.0837 0.4221  7 Rh 2.94-3.00, 1 Zn 3.02
8 Ho 0.7473 0.5779 0.9163  7 Rh 2.94-3.00, 1 Zn 3.02
9 Ho 0.7565 0.2570 0.2570  6 Rh 2.94-2.99, 2 Zn 2.99-3.00
10 Ho 0.2435 0.7430 0.7430  6 Rh 2.94-2.99, 2 Zn 2.99-3.00
11 Ho 0.2527 0.4221 0.0837  7 Rh 2.94-3.00, 1 Zn 3.02
12 Ho 0.7473 0.9163 0.5779  7 Rh 2.94-3.00, 1 Zn 3.02

Properties
**Magnetization**: 0.0 μB per cell
**Fermi-level density of states**: 0.560 states/eV per atom
**Total DFT energy (no corrections)**: -6.2691 eV/atom


# 3
## Ho5ZnRh4 (PBE)

Data for an optimized crystal structure of Ho5ZnRh4.

a = 3.4381 Å, b = 3.4381 Å, c = 17.2102 Å
α = 90.00°, β = 90.00°, γ = 90.00°
Last column: nearest neighbours and their distance in Å.
Positions (direct):
1 Ho 0.5000 0.5000 0.1086  4 Rh 2.93, 4 Zn 3.07
2 Ho 0.5000 0.5000 0.3032  8 Rh 2.96-2.98
3 Ho 0.5000 0.5000 0.5000  8 Rh 2.96
4 Ho 0.5000 0.5000 0.6968  8 Rh 2.96-2.98
5 Ho 0.5000 0.5000 0.8914  4 Rh 2.93, 4 Zn 3.07
6 Zn 0.0000 0.0000 0.0000  8 Ho 3.07
7 Rh 0.0000 0.0000 0.2033  8 Ho 2.93-2.98
8 Rh 0.0000 0.0000 0.4016  8 Ho 2.96
9 Rh 0.0000 0.0000 0.5984  8 Ho 2.96
10 Rh 0.0000 0.0000 0.7967  8 Ho 2.93-2.98

Properties
**Magnetization**: 0.0 μB per cell
**Fermi-level density of states**: 0.703 states/eV per atom
**Total DFT energy (no corrections)**: -6.1543 eV/atom


# 4
## Ho6Zn5Rh (PBE)

Data for an optimized crystal structure of Ho6Zn5Rh.

a = 4.9897 Å, b = 7.0406 Å, c = 7.8709 Å
α = 90.00°, β = 71.67°, γ = 90.00°
Last column: nearest neighbours and their distance in Å.
Positions (direct):
1 Zn 0.6690 0.5000 0.6625  8 Ho 3.07-3.11
2 Zn 0.3261 0.0000 0.3480  8 Ho 3.00-3.11
3 Zn 0.0000 0.5000 0.0000  8 Ho 3.01-3.09
4 Zn 0.6739 0.0000 0.6520  8 Ho 3.00-3.11
5 Zn 0.3310 0.5000 0.3375  8 Ho 3.07-3.11
6 Rh 0.0000 0.0000 0.0000  8 Ho 2.98-3.02
7 Ho 0.8378 0.7535 0.3242  1 Rh 2.98, 7 Zn 3.00-3.09
8 Ho 0.8378 0.2465 0.3242  1 Rh 2.98, 7 Zn 3.00-3.09
9 Ho 0.5000 0.2420 0.0000  2 Rh 3.02, 6 Zn 3.09-3.11
10 Ho 0.5000 0.7580 0.0000  2 Rh 3.02, 6 Zn 3.09-3.11
11 Ho 0.1622 0.7535 0.6758  1 Rh 2.98, 7 Zn 3.00-3.09
12 Ho 0.1622 0.2465 0.6758  1 Rh 2.98, 7 Zn 3.00-3.09

Properties
**Magnetization**: 0.0 μB per cell
**Fermi-level density of states**: 0.625 states/eV per atom
**Total DFT energy (no corrections)**: -3.8905 eV/atom


# 5
## Ho3Zn2Rh (PBE)

Data for an optimized crystal structure of Ho3Zn2Rh.

a = 4.9355 Å, b = 4.9355 Å, c = 6.0812 Å
α = 90.00°, β = 90.00°, γ = 120.00°
Last column: nearest neighbours and their distance in Å.
Positions (direct):
1 Ho 0.0000 0.0000 0.5000  6 Zn 2.99, 2 Rh 3.04
2 Ho 0.6667 0.3333 0.8446  3 Rh 3.00, 5 Zn 3.01-3.09
3 Ho 0.3333 0.6667 0.1554  3 Rh 3.00, 5 Zn 3.01-3.09
4 Zn 0.6667 0.3333 0.3500  8 Ho 2.99-3.09
5 Zn 0.3333 0.6667 0.6500  8 Ho 2.99-3.09
6 Rh 0.0000 0.0000 0.0000  8 Ho 3.00-3.04

Properties
**Magnetization**: 0.0 μB per cell
**Fermi-level density of states**: 0.496 states/eV per atom
**Total DFT energy (no corrections)**: -4.4853 eV/atom


# 6
## Ho8Zn2Rh (PBE)

Data for an optimized crystal structure of Ho8Zn2Rh.

a = 6.0255 Å, b = 8.7520 Å, c = 8.7520 Å
α = 129.38°, β = 103.48°, γ = 103.48°
Last column: nearest neighbours and their distance in Å.
Positions (direct):
1 Ho 0.6480 0.3972 0.1597  1 Rh 2.74, 2 Zn 2.92-3.06
2 Ho 0.6480 0.1597 0.3972  1 Rh 2.74, 2 Zn 2.92-3.06
3 Ho 0.1224 0.2724 0.2724  1 Rh 2.67
4 Ho 0.9853 0.1985 0.8082  4 Zn 3.22-3.36, 5 Ho 3.45-3.57, 1 Rh 3.59
5 Ho 0.9853 0.8082 0.1985  4 Zn 3.22-3.36, 5 Ho 3.45-3.57, 1 Rh 3.59
6 Ho 0.7700 0.7178 0.7178  1 Rh 2.67
7 Ho 0.3016 0.8468 0.6177  1 Rh 2.78, 2 Zn 2.97-3.10
8 Ho 0.3016 0.6177 0.8468  1 Rh 2.78, 2 Zn 2.97-3.10
9 Zn 0.4732 0.7252 0.2820  5 Ho 2.92-3.22
10 Zn 0.4732 0.2820 0.7252  5 Ho 2.92-3.22
11 Rh 0.2911 0.0084 0.0084  6 Ho 2.67-2.78

Properties
**Magnetization**: 0.0 μB per cell
**Fermi-level density of states**: 1.064 states/eV per atom
**Energy relative to the lowest polymorph listed for this composition**: 0.060 eV/atom


# 7
## HoZn3Rh3 (PBE)

Data for an optimized crystal structure of HoZn3Rh3.

a = 6.6609 Å, b = 6.6609 Å, c = 6.6609 Å
α = 90.00°, β = 90.00°, γ = 90.00°
Last column: nearest neighbours and their distance in Å.
Positions (direct):
1 Zn 0.0000 0.2500 0.5000  4 Rh 2.35
2 Zn 0.0000 0.7500 0.5000  4 Rh 2.35
3 Zn 0.5000 0.0000 0.7500  4 Rh 2.35
4 Zn 0.7500 0.5000 0.0000  4 Rh 2.35
5 Zn 0.5000 0.0000 0.2500  4 Rh 2.35
6 Zn 0.2500 0.5000 0.0000  4 Rh 2.35
7 Rh 0.2500 0.0000 0.5000  4 Zn 2.35
8 Rh 0.0000 0.5000 0.2500  4 Zn 2.35
9 Rh 0.5000 0.7500 0.0000  4 Zn 2.35
10 Rh 0.7500 0.0000 0.5000  4 Zn 2.35
11 Rh 0.0000 0.5000 0.7500  4 Zn 2.35
12 Rh 0.5000 0.2500 0.0000  4 Zn 2.35
13 Ho 0.5000 0.5000 0.5000  12 Rh 3.72, 12 Zn 3.72
14 Ho 0.0000 0.0000 0.0000  12 Zn 3.72, 12 Rh 3.72

Properties
**Magnetization**: 0.0 μB per cell
**Fermi-level density of states**: 0.372 states/eV per atom
**Total DFT energy (no corrections)**: -4.1106 eV/atom


# 8
## Ho7ZnRh4 (PBE)

Data for an optimized crystal structure of Ho7ZnRh4.

a = 5.2947 Å, b = 8.3834 Å, c = 7.3149 Å
α = 75.63°, β = 68.78°, γ = 71.59°
Last column: nearest neighbours and their distance in Å.
Positions (direct):
1 Ho 0.7877 0.8740 0.5507  4 Rh 2.92-3.11, 1 Ho 3.21
2 Ho 0.2123 0.1260 0.4493  4 Rh 2.92-3.11, 1 Ho 3.21
3 Ho 0.0764 0.6467 0.2005  1 Rh 2.69, 1 Zn 2.93
4 Ho 0.9236 0.3533 0.7995  1 Rh 2.69, 1 Zn 2.93
5 Ho 0.3302 0.6172 0.7223  2 Rh 2.64-2.93
6 Ho 0.5000 0.0000 0.0000  2 Zn 2.65, 4 Rh 2.76-2.85
7 Ho 0.6698 0.3828 0.2777  2 Rh 2.64-2.93
8 Zn 0.0000 0.0000 0.0000  4 Ho 2.65-2.93
9 Rh 0.5675 0.2199 0.6452  3 Ho 2.64-2.92
10 Rh 0.4325 0.7801 0.3548  3 Ho 2.64-2.92
11 Rh 0.7053 0.6541 0.9354  4 Ho 2.69-2.93
12 Rh 0.2947 0.3459 0.0646  4 Ho 2.69-2.93

Properties
**Magnetization**: 0.0 μB per cell
**Fermi-level density of states**: 0.626 states/eV per atom
**Total DFT energy (no corrections)**: -5.7248 eV/atom


# 9
## Ho3Zn2Rh6 (PBE)

Data for an optimized crystal structure of Ho3Zn2Rh6.

a = 8.0672 Å, b = 8.0672 Å, c = 8.0672 Å
α = 109.47°, β = 109.47°, γ = 109.47°
Last column: nearest neighbours and their distance in Å.
Positions (direct):
1 Ho 0.7077 0.0000 0.7077  4 Rh 2.82
2 Ho 0.2923 0.0000 0.2923  4 Rh 2.82
3 Ho 0.0000 0.2923 0.2923  4 Rh 2.82
4 Ho 0.0000 0.7077 0.7077  4 Rh 2.82
5 Ho 0.2923 0.2923 0.0000  4 Rh 2.82
6 Ho 0.7077 0.7077 0.0000  4 Rh 2.82
7 Zn 0.0000 0.5000 0.0000  6 Rh 2.64
8 Zn 0.5000 0.0000 0.0000  6 Rh 2.64
9 Zn 0.0000 0.0000 0.5000  6 Rh 2.64
10 Zn 0.5000 0.5000 0.5000  6 Rh 2.64
11 Rh 0.6560 0.3120 0.6560  2 Zn 2.64, 6 Rh 2.70-2.91, 2 Ho 2.82
12 Rh 0.6560 0.0000 0.3440  2 Zn 2.64, 6 Rh 2.70-2.91, 2 Ho 2.82
13 Rh 0.3440 0.0000 0.6560  2 Zn 2.64, 6 Rh 2.70-2.91, 2 Ho 2.82
14 Rh 0.3440 0.6880 0.3440  2 Zn 2.64, 6 Rh 2.70-2.91, 2 Ho 2.82
15 Rh 0.0000 0.6560 0.3440  2 Zn 2.64, 6 Rh 2.70-2.91, 2 Ho 2.82
16 Rh 0.6880 0.3440 0.3440  2 Zn 2.64, 6 Rh 2.70-2.91, 2 Ho 2.82
17 Rh 0.3120 0.6560 0.6560  2 Zn 2.64, 6 Rh 2.70-2.91, 2 Ho 2.82
18 Rh 0.0000 0.3440 0.6560  2 Zn 2.64, 6 Rh 2.70-2.91, 2 Ho 2.82
19 Rh 0.3440 0.6560 0.0000  2 Zn 2.64, 6 Rh 2.70-2.91, 2 Ho 2.82
20 Rh 0.6560 0.6560 0.3120  2 Zn 2.64, 6 Rh 2.70-2.91, 2 Ho 2.82
21 Rh 0.3440 0.3440 0.6880  2 Zn 2.64, 6 Rh 2.70-2.91, 2 Ho 2.82
22 Rh 0.6560 0.3440 0.0000  2 Zn 2.64, 6 Rh 2.70-2.91, 2 Ho 2.82

Properties
**Magnetization**: 0.0 μB per cell
**Fermi-level density of states**: 1.316 states/eV per atom
**Total DFT energy (no corrections)**: -6.0638 eV/atom


# 10
## Ho2ZnRh2 (PBE)

Data for an optimized crystal structure of Ho2ZnRh2.

a = 5.7324 Å, b = 5.7324 Å, c = 7.6846 Å
α = 75.15°, β = 75.15°, γ = 55.58°
Last column: nearest neighbours and their distance in Å.
Positions (direct):
1 Ho 0.5036 0.2047 0.1495  5 Rh 2.85-3.02, 1 Zn 3.18
2 Ho 0.7953 0.4964 0.3505  5 Rh 2.85-3.02, 1 Zn 3.18
3 Ho 0.4964 0.7953 0.8505  5 Rh 2.85-3.02, 1 Zn 3.18
4 Ho 0.2047 0.5036 0.6495  5 Rh 2.85-3.02, 1 Zn 3.18
5 Zn 0.1522 0.8478 0.2500  4 Rh 2.57-2.61
6 Zn 0.8478 0.1522 0.7500  4 Rh 2.57-2.61
7 Rh 0.7212 0.0128 0.5111  2 Zn 2.57-2.61, 1 Rh 2.67, 1 Ho 2.85
8 Rh 0.9872 0.2788 0.9889  2 Zn 2.57-2.61, 1 Rh 2.67, 1 Ho 2.85
9 Rh 0.2788 0.9872 0.4889  2 Zn 2.57-2.61, 1 Rh 2.67, 1 Ho 2.85
10 Rh 0.0128 0.7212 0.0111  2 Zn 2.57-2.61, 1 Rh 2.67, 1 Ho 2.85

Properties
**Magnetization**: 0.0 μB per cell
**Fermi-level density of states**: 0.535 states/eV per atom
**Total DFT energy (no corrections)**: -5.8062 eV/atom


# 11
## Ho5ZnRh2 (PBE)

Data for an optimized crystal structure of Ho5ZnRh2.

a = 7.6689 Å, b = 7.6689 Å, c = 8.5161 Å
α = 116.76°, β = 116.76°, γ = 90.00°
Last column: nearest neighbours and their distance in Å.
Positions (direct):
1 Ho 0.5221 0.7001 0.7222  3 Rh 2.83-2.94
2 Ho 0.7999 0.9779 0.2778  3 Rh 2.83-2.94
3 Ho 0.0000 0.0000 0.0000  4 Rh 2.97, 2 Zn 3.28
4 Ho 0.5000 0.5000 0.0000  4 Rh 2.97, 2 Zn 3.28
5 Ho 0.2001 0.0221 0.7222  3 Rh 2.83-2.94
6 Ho 0.7001 0.2001 0.7222  3 Rh 2.83-2.94
7 Ho 0.0221 0.5221 0.7222  3 Rh 2.83-2.94
8 Ho 0.2999 0.7999 0.2778  3 Rh 2.83-2.94
9 Ho 0.9779 0.4779 0.2778  3 Rh 2.83-2.94
10 Ho 0.4779 0.2999 0.2778  3 Rh 2.83-2.94
11 Zn 0.7500 0.7500 0.5000  10 Ho 3.23-3.28
12 Zn 0.2500 0.2500 0.5000  10 Ho 3.23-3.28
13 Rh 0.1389 0.3611 0.0000  8 Ho 2.83-2.97, 1 Rh 3.01
14 Rh 0.6389 0.1389 0.0000  8 Ho 2.83-2.97, 1 Rh 3.01
15 Rh 0.3611 0.8611 0.0000  8 Ho 2.83-2.97, 1 Rh 3.01
16 Rh 0.8611 0.6389 0.0000  8 Ho 2.83-2.97, 1 Rh 3.01

Properties
**Magnetization**: 0.0 μB per cell
**Fermi-level density of states**: 0.615 states/eV per atom
**Total DFT energy (no corrections)**: -5.4458 eV/atom


# 12
## Ho3Zn3Rh2 (PBE)

Data for an optimized crystal structure of Ho3Zn3Rh2.

a = 5.4464 Å, b = 7.2936 Å, c = 16.2277 Å
α = 90.00°, β = 90.00°, γ = 90.00°
Last column: nearest neighbours and their distance in Å.
Positions (direct):
1 Ho 0.1153 0.4625 0.3929  3 Rh 2.84-3.03, 6 Zn 3.05-3.16
2 Ho 0.6153 0.0375 0.6071  3 Rh 2.84-3.03, 6 Zn 3.05-3.16
3 Ho 0.8847 0.5375 0.8929  3 Rh 2.84-3.03, 6 Zn 3.05-3.16
4 Ho 0.3847 0.9625 0.1071  3 Rh 2.84-3.03, 6 Zn 3.05-3.16
5 Ho 0.8847 0.5375 0.6071  3 Rh 2.84-3.03, 6 Zn 3.05-3.16
6 Ho 0.3847 0.9625 0.3929  3 Rh 2.84-3.03, 6 Zn 3.05-3.16
7 Ho 0.1153 0.4625 0.1071  3 Rh 2.84-3.03, 6 Zn 3.05-3.16
8 Ho 0.6153 0.0375 0.8929  3 Rh 2.84-3.03, 6 Zn 3.05-3.16
9 Ho 0.6467 0.3338 0.2500  4 Rh 2.93-3.00, 3 Zn 2.94-2.98
10 Ho 0.1467 0.1662 0.7500  4 Rh 2.93-3.00, 3 Zn 2.94-2.98
11 Ho 0.3533 0.6662 0.7500  4 Rh 2.93-3.00, 3 Zn 2.94-2.98
12 Ho 0.8533 0.8338 0.2500  4 Rh 2.93-3.00, 3 Zn 2.94-2.98
13 Zn 0.1425 0.1746 0.2500  2 Rh 2.64, 2 Ho 2.94
14 Zn 0.6425 0.3254 0.7500  2 Rh 2.64, 2 Ho 2.94
15 Zn 0.8575 0.8254 0.7500  2 Rh 2.64, 2 Ho 2.94
16 Zn 0.3575 0.6746 0.2500  2 Rh 2.64, 2 Ho 2.94
17 Zn 0.5956 0.3262 0.4717  3 Rh 2.57-2.69
18 Zn 0.0956 0.1738 0.5283  3 Rh 2.57-2.69
19 Zn 0.4044 0.6738 0.9717  3 Rh 2.57-2.69
20 Zn 0.9044 0.8262 0.0283  3 Rh 2.57-2.69
21 Zn 0.4044 0.6738 0.5283  3 Rh 2.57-2.69
22 Zn 0.9044 0.8262 0.4717  3 Rh 2.57-2.69
23 Zn 0.5956 0.3262 0.0283  3 Rh 2.57-2.69
24 Zn 0.0956 0.1738 0.9717  3 Rh 2.57-2.69
25 Rh 0.8712 0.1199 0.3826  4 Zn 2.57-2.69, 1 Ho 2.84
26 Rh 0.3712 0.3801 0.6174  4 Zn 2.57-2.69, 1 Ho 2.84
27 Rh 0.1288 0.8801 0.8826  4 Zn 2.57-2.69, 1 Ho 2.84
28 Rh 0.6288 0.6199 0.1174  4 Zn 2.57-2.69, 1 Ho 2.84
29 Rh 0.1288 0.8801 0.6174  4 Zn 2.57-2.69, 1 Ho 2.84
30 Rh 0.6288 0.6199 0.3826  4 Zn 2.57-2.69, 1 Ho 2.84
31 Rh 0.8712 0.1199 0.1174  4 Zn 2.57-2.69, 1 Ho 2.84
32 Rh 0.3712 0.3801 0.8826  4 Zn 2.57-2.69, 1 Ho 2.84

Properties
**Magnetization**: 0.0 μB per cell
**Fermi-level density of states**: 0.528 states/eV per atom
**Total DFT energy (no corrections)**: -4.6484 eV/atom